VASP calculation (PBE+U) on an optimized crystal structure of Cr3PbSe4O12.

Cell: 6.692 6.692 6.692 Å, 104.44 104.44 104.44°
Fractional coordinates of all 20 atoms:
Cr 0.000 0.584 0.416
Cr 0.416 0.000 0.584
Cr 0.584 0.416 0.000
Pb 0.000 0.000 0.000
Se 0.111 0.500 0.889
Se 0.500 0.500 0.500
Se 0.500 0.889 0.111
Se 0.889 0.111 0.500
O 0.028 0.288 0.358
O 0.058 0.942 0.500
O 0.288 0.358 0.028
O 0.316 0.684 0.500
O 0.358 0.028 0.288
O 0.500 0.058 0.942
O 0.500 0.316 0.684
O 0.642 0.712 0.972
O 0.684 0.500 0.316
O 0.712 0.972 0.642
O 0.942 0.500 0.058
O 0.972 0.642 0.712

Summary:
- Space-group type: R32
- DOS at the Fermi energy: 3.8 states/eV/cell
- Total energy: -5.913 eV per atom